DFT (PBE-GGA) results for a geometry-optimized Li2Mg3Pb3 structure.

POSCAR file:
```
Li2Mg3Pb3
1.0
-0.5071 2.1123 -4.2664
-4.4258 -1.8574 -0.3936
-3.1369 6.6935 3.6868
Li Mg Pb
2 3 3
direct
0.0000 0.0000 0.7547 Li
0.0000 0.0000 0.2453 Li
0.5000 0.5000 0.7532 Mg
0.5000 0.5000 0.2468 Mg
0.5000 0.0000 0.0000 Mg
0.5000 0.0000 0.5000 Pb
0.0000 0.5000 0.0000 Pb
0.0000 0.5000 0.5000 Pb
```

Values from the calculation:
The calculation puts the total energy at -20.90 eV/f.u. As for the formation energy: -3.35 kcal/mol of atoms.

DFT (PBE-GGA) results for a geometry-optimized Li3MgPb3 structure.

POSCAR file:
```
Li3MgPb3
1.0
7.4455 0.2594 0.3056
-3.0848 6.7814 0.3056
-0.3369 -0.5439 7.2368
Li Mg Pb
6 2 6
direct
0.6037 0.6037 0.3666 Li
0.1091 0.8909 0.5000 Li
0.8909 0.1091 0.5000 Li
0.2151 0.7849 0.0000 Li
0.7849 0.2151 0.0000 Li
0.3963 0.3963 0.6334 Li
0.7575 0.7575 0.7968 Mg
0.2425 0.2425 0.2032 Mg
0.8835 0.8835 0.1739 Pb
0.8490 0.4345 0.6563 Pb
0.4345 0.8490 0.6563 Pb
0.1510 0.5655 0.3437 Pb
0.5655 0.1510 0.3437 Pb
0.1165 0.1165 0.8261 Pb
```

Values from the calculation:
The calculation puts the total energy at -18.98 eV/f.u. As for the formation energy: -1.70 kcal/mol of atoms.

DFT (PBE-GGA) results for a geometry-optimized Li2MgPb structure.

POSCAR file:
```
Li2MgPb
1.0
3.6214 0.0000 0.0000
0.0000 3.6216 0.0000
0.0000 0.0000 6.4121
Pb Mg Li
1 1 2
direct
0.5000 0.5000 0.7500 Pb
0.5000 0.5000 0.2500 Mg
0.0000 0.0000 0.9931 Li
0.0000 0.0000 0.5069 Li
```

Values from the calculation:
The calculation puts the total energy at -9.91 eV/f.u. As for the formation energy: -4.48 kcal/mol of atoms.

DFT (PBE-GGA) results for a geometry-optimized Li2MgPb structure.

POSCAR file:
```
Li2MgPb
1.0
-4.0149 -2.1333 -6.4090
6.5600 0.5455 -4.2912
1.8827 -3.6526 -4.7807
Pb Mg Li
2 2 4
direct
0.0000 0.0000 0.0000 Pb
0.7500 0.2500 0.5000 Pb
0.5000 0.5000 0.0000 Mg
0.2500 0.7500 0.5000 Mg
0.6284 0.1250 0.2500 Li
0.1216 0.6250 0.2500 Li
0.3750 0.3716 0.7500 Li
0.8750 0.8784 0.7500 Li
```

Values from the calculation:
The calculation puts the total energy at -9.15 eV/f.u. As for the formation energy: -0.11 kcal/mol of atoms.

DFT (PBE-GGA) results for a geometry-optimized LiMg5Pb8 structure.

POSCAR file:
```
LiMg5Pb8
1.0
-5.9379 0.4951 5.3273
0.3780 -7.4316 -2.9174
6.9023 1.8301 3.5905
Li Mg Pb
1 5 8
direct
0.2500 0.5000 0.7500 Li
0.0006 0.3638 0.1208 Mg
0.8792 0.8798 0.2430 Mg
0.7570 0.6362 0.6368 Mg
0.5000 0.0000 0.5000 Mg
0.3632 0.1202 0.9994 Mg
0.1270 0.7416 0.0408 Pb
0.9592 0.0863 0.7008 Pb
0.7895 0.2527 0.3744 Pb
0.6256 0.4151 0.8784 Pb
0.4633 0.5849 0.2105 Pb
0.6146 0.9137 0.8730 Pb
0.2992 0.2584 0.3854 Pb
0.1216 0.7473 0.5367 Pb
```

Values from the calculation:
The calculation puts the total energy at -39.71 eV/f.u. As for the formation energy: -0.26 kcal/mol of atoms.

DFT (PBE-GGA) results for a geometry-optimized LiMg2Pb4 structure.

POSCAR file:
```
LiMg2Pb4
1.0
-1.7801 0.9662 -4.6117
5.6300 -1.3446 -2.4549
-3.2870 -5.3578 0.1463
Li Mg Pb
1 2 4
direct
0.5000 0.5000 0.5000 Li
0.0000 0.7337 0.2663 Mg
0.0000 0.2663 0.7337 Mg
0.0000 0.7758 0.7758 Pb
0.0000 0.2242 0.2242 Pb
0.5000 0.0000 0.5000 Pb
0.5000 0.5000 0.0000 Pb
```

Values from the calculation:
The calculation puts the total energy at -20.46 eV/f.u. As for the formation energy: -1.72 kcal/mol of atoms.

DFT (PBE-GGA) results for a geometry-optimized LiMg2Pb6 structure.

POSCAR file:
```
LiMg2Pb6
1.0
4.9348 0.0000 0.2836
0.0000 10.0132 0.0000
-0.5744 0.0000 9.9964
Li Mg Pb
2 4 12
direct
0.5000 0.5000 0.0000 Li
0.0000 0.0000 0.5000 Li
0.0000 0.3067 0.8063 Mg
0.5000 0.8067 0.6937 Mg
0.5000 0.1933 0.3063 Mg
0.0000 0.6933 0.1937 Mg
0.9999 0.0230 0.1785 Pb
0.9997 0.6785 0.5234 Pb
0.9999 0.6316 0.8688 Pb
0.5001 0.1316 0.6312 Pb
0.5003 0.1785 0.9766 Pb
0.5001 0.5230 0.3215 Pb
0.0001 0.9770 0.8215 Pb
0.0003 0.3215 0.4766 Pb
0.0001 0.3684 0.1312 Pb
0.4999 0.8684 0.3688 Pb
0.4997 0.8215 0.0234 Pb
0.4999 0.4770 0.6785 Pb
```

Values from the calculation:
The calculation puts the total energy at -27.95 eV/f.u. As for the formation energy: -1.53 kcal/mol of atoms.

DFT (PBE-GGA) results for a geometry-optimized Li3MgPb3 structure.

POSCAR file:
```
Li3MgPb3
1.0
-1.8902 6.5374 -1.8096
-0.9221 -1.9942 -6.6901
-6.6930 -1.5514 1.3843
Li Mg Pb
6 2 6
direct
0.2606 0.2606 0.5002 Li
0.2591 0.7409 0.5000 Li
0.7409 0.2591 0.5000 Li
0.2627 0.7373 0.0000 Li
0.7373 0.2627 0.0000 Li
0.7394 0.7394 0.4998 Li
0.2724 0.2724 0.9999 Mg
0.7276 0.7276 0.0001 Mg
0.0000 0.0000 0.7572 Pb
0.5000 0.0001 0.2598 Pb
0.0001 0.5000 0.2598 Pb
0.5000 0.9999 0.7402 Pb
0.9999 0.5000 0.7402 Pb
0.0000 0.0000 0.2428 Pb
```

Values from the calculation:
The calculation puts the total energy at -19.71 eV/f.u. As for the formation energy: -4.11 kcal/mol of atoms.

DFT (PBE-GGA) results for a geometry-optimized Li3MgPb4 structure.

POSCAR file:
```
Li3MgPb4
1.0
-3.7734 0.6360 -3.4070
-4.0147 -4.8492 3.5413
-3.9533 7.4918 5.7770
Pb Mg Li
8 2 6
direct
0.5000 0.7550 0.0000 Pb
0.5000 0.7550 0.5000 Pb
0.5000 0.2450 0.0000 Pb
0.5000 0.2450 0.5000 Pb
0.9985 0.7549 0.7500 Pb
0.0015 0.7549 0.2500 Pb
0.0015 0.2451 0.2500 Pb
0.9985 0.2451 0.7500 Pb
0.0000 0.5000 0.0000 Mg
0.0000 0.5000 0.5000 Mg
0.0000 0.0000 0.0000 Li
0.0000 0.0000 0.5000 Li
0.4979 0.0000 0.7500 Li
0.5021 0.0000 0.2500 Li
0.4984 0.5000 0.7500 Li
0.5016 0.5000 0.2500 Li
```

Values from the calculation:
The calculation puts the total energy at -23.96 eV/f.u. As for the formation energy: -5.16 kcal/mol of atoms.

DFT (PBE-GGA) results for a geometry-optimized Li2MgPb2 structure.

POSCAR file:
```
Li2MgPb2
1.0
1.0337 -4.2499 -0.9486
4.6566 -0.4219 -3.5929
10.3640 -0.7279 3.9969
Li Mg Pb
4 2 4
direct
0.4427 0.9699 0.6448 Li
0.0574 0.5301 0.8552 Li
0.5573 0.0301 0.3552 Li
0.9426 0.4699 0.1448 Li
0.2499 0.7500 0.2500 Mg
0.7501 0.2500 0.7500 Mg
0.3615 0.8335 0.9436 Pb
0.8614 0.3335 0.4436 Pb
0.6385 0.1665 0.0564 Pb
0.1386 0.6665 0.5564 Pb
```

Values from the calculation:
The calculation puts the total energy at -13.76 eV/f.u. As for the formation energy: -4.27 kcal/mol of atoms.

DFT (PBE-GGA) results for a geometry-optimized LiMg4Pb structure.

POSCAR file:
```
LiMg4Pb
1.0
-4.7675 -0.2272 3.5573
-5.4176 1.0956 -2.2101
-3.9328 -4.4317 -0.5732
Li Mg Pb
1 4 1
direct
0.0000 0.0000 0.0000 Li
0.8762 0.3746 0.3746 Mg
0.3746 0.3746 0.8762 Mg
0.3746 0.8762 0.3746 Mg
0.3746 0.3746 0.3746 Mg
0.7500 0.7500 0.7500 Pb
```

Values from the calculation:
The calculation puts the total energy at -11.89 eV/f.u. As for the formation energy: 0.41 kcal/mol of atoms.

DFT (PBE-GGA) results for a geometry-optimized LiMg3Pb structure.

POSCAR file:
```
LiMg3Pb
1.0
3.1624 0.0001 0.0002
0.0002 5.9666 0.0000
-0.0001 0.0000 13.3063
Li Mg Pb
2 6 2
direct
0.5000 0.2500 0.1928 Li
0.5000 0.7500 0.8072 Li
0.5001 0.5019 0.6128 Mg
0.5000 0.0000 0.0000 Mg
0.5001 0.9981 0.6128 Mg
0.4999 0.4981 0.3872 Mg
0.5000 0.5000 0.0000 Mg
0.4999 0.0019 0.3872 Mg
0.0000 0.2500 0.8022 Pb
0.0000 0.7500 0.1978 Pb
```

Values from the calculation:
The calculation puts the total energy at -9.99 eV/f.u. As for the formation energy: 1.90 kcal/mol of atoms.

DFT (PBE-GGA) results for a geometry-optimized Li4Mg4Pb structure.

POSCAR file:
```
Li4Mg4Pb
1.0
4.3973 0.0000 1.4892
2.1986 6.4008 0.7446
0.1455 0.0000 6.8071
Li Mg Pb
4 4 1
direct
0.3422 0.3156 0.0000 Li
0.6578 0.6844 0.0000 Li
0.6578 0.0000 0.6844 Li
0.3422 0.0000 0.3156 Li
0.0000 0.6680 0.3320 Mg
0.0000 0.3320 0.6680 Mg
0.6680 0.3320 0.3320 Mg
0.3320 0.6680 0.6680 Mg
0.0000 0.0000 0.0000 Pb
```

Values from the calculation:
The calculation puts the total energy at -18.83 eV/f.u. As for the formation energy: -2.80 kcal/mol of atoms.

DFT (PBE-GGA) results for a geometry-optimized Li2Mg3Pb4 structure.

POSCAR file:
```
Li2Mg3Pb4
1.0
4.7215 0.0148 0.0065
2.3713 4.8289 0.7093
0.0022 0.7688 9.9105
Li Mg Pb
2 3 4
direct
0.3184 0.3577 0.7755 Li
0.6816 0.6423 0.2245 Li
0.3390 0.3224 0.4390 Mg
0.0000 0.0000 0.0000 Mg
0.6610 0.6776 0.5610 Mg
0.6601 0.6779 0.8918 Pb
0.0227 0.9600 0.3373 Pb
0.9773 0.0400 0.6627 Pb
0.3399 0.3221 0.1082 Pb
```

Values from the calculation:
The calculation puts the total energy at -24.70 eV/f.u. As for the formation energy: -3.22 kcal/mol of atoms.

DFT (PBE-GGA) results for a geometry-optimized Li2Mg3Pb6 structure.

POSCAR file:
```
Li2Mg3Pb6
1.0
-1.9439 -2.7258 -3.1751
-2.2945 -2.2336 3.3222
-8.7723 11.7496 -1.3634
Li Mg Pb
2 3 6
direct
0.3606 0.3606 0.7212 Li
0.6394 0.6394 0.2788 Li
0.0000 0.0000 0.0000 Mg
0.8398 0.8398 0.6797 Mg
0.1602 0.1602 0.3203 Mg
0.0753 0.5753 0.1506 Pb
0.5753 0.0753 0.1506 Pb
0.9247 0.4247 0.8494 Pb
0.4247 0.9247 0.8494 Pb
0.7350 0.7350 0.4700 Pb
0.2650 0.2650 0.5300 Pb
```

Values from the calculation:
The calculation puts the total energy at -30.76 eV/f.u. As for the formation energy: 0.21 kcal/mol of atoms.

DFT (PBE-GGA) results for a geometry-optimized LiMg5Pb2 structure.

POSCAR file:
```
LiMg5Pb2
1.0
4.9109 0.0000 0.0000
-2.4555 4.2530 0.0000
0.0000 0.0000 19.0373
Li Mg Pb
2 10 4
direct
0.3333 0.6667 0.2500 Li
0.6667 0.3333 0.7500 Li
0.0000 0.0000 0.3328 Mg
0.0000 0.0000 0.1672 Mg
0.6667 0.3333 0.2500 Mg
0.0000 0.0000 0.8328 Mg
0.6667 0.3333 0.0535 Mg
0.3333 0.6667 0.7500 Mg
0.3333 0.6667 0.9465 Mg
0.3333 0.6667 0.5535 Mg
0.6667 0.3333 0.4465 Mg
0.0000 0.0000 0.6672 Mg
0.6667 0.3333 0.6046 Pb
0.3333 0.6667 0.1046 Pb
0.3333 0.6667 0.3954 Pb
0.6667 0.3333 0.8954 Pb
```

Values from the calculation:
The calculation puts the total energy at -17.76 eV/f.u. As for the formation energy: -1.33 kcal/mol of atoms.

DFT (PBE-GGA) results for a geometry-optimized LiMg8Pb6 structure.

POSCAR file:
```
LiMg8Pb6
1.0
8.4914 0.0000 0.0000
4.2457 7.3538 0.0000
4.2457 2.4513 6.6146
Li Mg Pb
1 8 6
direct
0.0000 0.0000 0.0000 Li
0.5456 0.2216 0.3485 Mg
0.7784 0.1158 0.6515 Mg
0.1158 0.4544 0.6515 Mg
0.6666 0.6666 0.0001 Mg
0.3334 0.3334 0.9999 Mg
0.8842 0.5456 0.3485 Mg
0.2216 0.8842 0.3485 Mg
0.4544 0.7784 0.6515 Mg
0.3935 0.0644 0.8067 Pb
0.9356 0.2645 0.1933 Pb
0.2645 0.6065 0.1933 Pb
0.7355 0.3935 0.8067 Pb
0.0644 0.7355 0.8067 Pb
0.6065 0.9356 0.1933 Pb
```

Values from the calculation:
The calculation puts the total energy at -36.76 eV/f.u. As for the formation energy: 0.25 kcal/mol of atoms.

DFT (PBE-GGA) results for a geometry-optimized Li4Mg2Pb structure.

POSCAR file:
```
Li4Mg2Pb
1.0
4.5685 0.0000 -1.0416
-0.1620 3.0417 -0.7106
-0.0808 0.7670 10.1853
Li Mg Pb
4 2 1
direct
0.6368 0.6368 0.2735 Li
0.3632 0.3632 0.7265 Li
0.0670 0.5670 0.1339 Li
0.9330 0.4330 0.8661 Li
0.7914 0.7914 0.5828 Mg
0.2086 0.2086 0.4172 Mg
0.5000 0.0000 0.0000 Pb
```

Values from the calculation:
The calculation puts the total energy at -15.61 eV/f.u. As for the formation energy: -3.48 kcal/mol of atoms.

DFT (PBE-GGA) results for a geometry-optimized Li7Mg2Pb structure.

POSCAR file:
```
Li7Mg2Pb
1.0
-0.9198 1.2019 2.6023
7.3949 -8.2785 6.4372
-2.7010 10.9978 -6.0340
Li Mg Pb
7 2 1
direct
0.0000 0.8072 0.1928 Li
0.0000 0.1928 0.8072 Li
0.5000 0.1450 0.3409 Li
0.5000 0.8550 0.6591 Li
0.5000 0.3409 0.1450 Li
0.5000 0.6591 0.8550 Li
0.5000 0.5000 0.5000 Li
0.5000 0.7039 0.2961 Mg
0.5000 0.2961 0.7039 Mg
0.0000 0.0000 0.0000 Pb
```

Values from the calculation:
The calculation puts the total energy at -20.65 eV/f.u. As for the formation energy: -0.82 kcal/mol of atoms.

DFT (PBE-GGA) results for a geometry-optimized Li4Mg3Pb4 structure.

POSCAR file:
```
Li4Mg3Pb4
1.0
-1.5146 3.1290 0.2865
-3.5391 -1.5035 -2.3209
-8.0175 -6.9754 12.3978
Li Mg Pb
4 3 4
direct
0.8970 0.0941 0.8100 Li
0.2413 0.2596 0.4812 Li
0.7586 0.7403 0.5188 Li
0.1029 0.9059 0.1900 Li
0.3547 0.6496 0.7007 Mg
0.6453 0.3504 0.2993 Mg
0.0000 0.0000 0.0000 Mg
0.4370 0.5504 0.8963 Pb
0.5629 0.4496 0.1037 Pb
0.1815 0.8159 0.3693 Pb
0.8185 0.1840 0.6307 Pb
```

Values from the calculation:
The calculation puts the total energy at -29.32 eV/f.u. As for the formation energy: -4.28 kcal/mol of atoms.